(1)
## PmThCdOs (PBE-GGA)

Data for a geometry-optimized PmThCdOs structure.

Results
The density of states at the Fermi level is 2.6 states/eV/cell. Its calculated density is 11.45 g/cm³. As for the total energy: -6.16 eV per atom. Its crystal system is cubic.

a = 5.1856 Å, b = 5.1856 Å, c = 5.1856 Å
α = 60.00°, β = 60.00°, γ = 60.00°
Sites, in units of the cell vectors:
Cd 0.2500 0.2500 0.2500
Os 0.7500 0.7500 0.7500
Th 0.5000 0.5000 0.5000
Pm 0.0000 0.0000 0.0000


(2)
## PmTmCdOs (PBE-GGA)

Data for a geometry-optimized PmTmCdOs structure.

Results
The density of states at the Fermi level is 3.0 states/eV/cell. Its calculated density is 10.86 g/cm³. As for the total energy: -5.60 eV per atom. The polymorph energy (0 for the lowest one) comes out at 0.0 meV per atom. Its crystal system is tetragonal.

a = 3.4649 Å, b = 3.4649 Å, c = 7.8537 Å
α = 90.00°, β = 90.00°, γ = 90.00°
Sites, in units of the cell vectors:
Pm 0.5000 0.5000 0.7832
Tm 0.5000 0.5000 0.3573
Cd 0.0000 0.0000 0.0861
Os 0.0000 0.0000 0.5580


(3)
## PmTmCdOs (PBE-GGA)

Data for a geometry-optimized PmTmCdOs structure.

Results
The density of states at the Fermi level is 3.2 states/eV/cell. Its calculated density is 11.25 g/cm³. As for the total energy: -5.50 eV per atom. The polymorph energy (0 for the lowest one) comes out at 101.8 meV per atom. Its crystal system is cubic.

a = 5.0495 Å, b = 5.0495 Å, c = 5.0495 Å
α = 60.00°, β = 60.00°, γ = 60.00°
Sites, in units of the cell vectors:
Cd 0.0000 0.0000 0.0000
Tm 0.7500 0.7500 0.7500
Os 0.5000 0.5000 0.5000
Pm 0.2500 0.2500 0.2500


(4)
## PmYCdOs (PBE-GGA)

Data for a geometry-optimized PmYCdOs structure.

Results
The density of states at the Fermi level is 3.4 states/eV/cell. Its calculated density is 9.57 g/cm³. As for the total energy: -5.98 eV per atom. Its crystal system is cubic.

a = 5.0874 Å, b = 5.0874 Å, c = 5.0874 Å
α = 60.00°, β = 60.00°, γ = 60.00°
Sites, in units of the cell vectors:
Y 0.7500 0.7500 0.7500
Cd 0.0000 0.0000 0.0000
Os 0.5000 0.5000 0.5000
Pm 0.2500 0.2500 0.2500


(5)
## Pr6Cd2Os (PBE-GGA)

Data for a geometry-optimized Pr6Cd2Os structure.

Results
The density of states at the Fermi level is 17.2 states/eV/cell. Its calculated density is 7.61 g/cm³. As for the total energy: -4.71 eV per atom. The polymorph energy (0 for the lowest one) comes out at 14.2 meV per atom. Its crystal system is orthorhombic.

a = 8.9545 Å, b = 8.9545 Å, c = 8.9545 Å
α = 74.11°, β = 70.81°, γ = 113.42°
Sites, in units of the cell vectors:
Pr 0.1640 0.7592 0.0768
Pr 0.8360 0.2408 0.9232
Pr 0.1640 0.2408 0.5951
Pr 0.8360 0.7592 0.4048
Pr 0.4526 0.2727 0.8201
Pr 0.5474 0.7273 0.1799
Pr 0.0928 0.2727 0.1799
Pr 0.9072 0.7273 0.8201
Pr 0.3345 0.0689 0.2656
Pr 0.6655 0.9311 0.7344
Pr 0.3345 0.6001 0.7344
Pr 0.6655 0.3999 0.2656
Cd 0.1418 0.6418 0.5000
Cd 0.8582 0.3582 0.5000
Cd 0.3594 0.0000 0.6406
Cd 0.6406 0.0000 0.3594
Os 0.5000 0.5000 0.0000
Os 0.0000 0.0000 0.0000


(6)
## Pr2CdOs (PBE-GGA)

Data for a geometry-optimized Pr2CdOs structure.

Results
The density of states at the Fermi level is 3.8 states/eV/cell. Its calculated density is 9.29 g/cm³. As for the total energy: -5.52 eV per atom. The polymorph energy (0 for the lowest one) comes out at 0.0 meV per atom. Its crystal system is tetragonal.

a = 3.5448 Å, b = 3.5448 Å, c = 8.3139 Å
α = 90.00°, β = 90.00°, γ = 90.00°
Sites, in units of the cell vectors:
Pr 0.0000 0.0000 0.7889
Pr 0.0000 0.0000 0.2111
Os 0.5000 0.5000 0.0000
Cd 0.5000 0.5000 0.5000


What is the calculated density in the second record?
10.86 g/cm³


What is the formula in the sixth record?
Pr2CdOs